No. 1
The following is a PBE calculation of an optimized crystal structure of SnHPd2Rh, from the Alexandria database.

Calculated values
Raw total energy = -5.4020 eV/atom
Crystal system = tetragonal
DOS(E_F) = 0.51 states/eV/cell
Space group = P4/mmm

The structure in CIF format:
```
data_SnHPd2Rh
_chemical_formula_sum 'Sn1 H1 Pd2 Rh1'
_cell_length_a 4.0294
_cell_length_b 4.0294
_cell_length_c 4.1101
_cell_angle_alpha 90.00
_cell_angle_beta 90.00
_cell_angle_gamma 90.00
_space_group_name_H-M_alt 'P 1'
_space_group_IT_number 1
_space_group_name_Hall 'P 1'
loop_
_atom_site_label
_atom_site_type_symbol
_atom_site_fract_x
_atom_site_fract_y
_atom_site_fract_z
Sn1 Sn 0.0000 0.0000 0.0000
H1 H 0.5000 0.5000 0.5000
Pd1 Pd 0.0000 0.5000 0.5000
Pd2 Pd 0.5000 0.0000 0.5000
Rh1 Rh 0.5000 0.5000 0.0000
```

---

No. 2
The following is a PBE calculation of an optimized crystal structure of Sn2H6PdRh, from the Alexandria database.

Calculated values
Raw total energy = -3.9595 eV/atom
Crystal system = monoclinic
DOS(E_F) = 1.80 states/eV/cell
Space group = Cm

The structure in CIF format:
```
data_Sn2H6PdRh
_chemical_formula_sum 'Sn2 H6 Pd1 Rh1'
_cell_length_a 5.2863
_cell_length_b 5.2863
_cell_length_c 5.2974
_cell_angle_alpha 119.67
_cell_angle_beta 119.67
_cell_angle_gamma 89.77
_space_group_name_H-M_alt 'P 1'
_space_group_IT_number 1
_space_group_name_Hall 'P 1'
loop_
_atom_site_label
_atom_site_type_symbol
_atom_site_fract_x
_atom_site_fract_y
_atom_site_fract_z
Sn1 Sn 0.2481 0.7519 0.0000
Sn2 Sn 0.7519 0.2481 0.0000
H1 H 0.2761 0.7945 0.5553
H2 H 0.2799 0.2799 0.5551
H3 H 0.2878 0.2878 0.0635
H4 H 0.7945 0.2761 0.5553
H5 H 0.7994 0.7994 0.5561
H6 H 0.8182 0.8182 0.1191
Pd1 Pd 0.5446 0.5446 0.5701
Rh1 Rh 0.0534 0.0534 0.5847
```

---

No. 3
The following is a PBE calculation of an optimized crystal structure of SnH6PdRh2, from the Alexandria database.

Calculated values
Raw total energy = -4.4178 eV/atom
Crystal system = monoclinic
DOS(E_F) = 4.09 states/eV/cell
Space group = C2/c

The structure in CIF format:
```
data_SnH6PdRh2
_chemical_formula_sum 'Sn2 H12 Pd2 Rh4'
_cell_length_a 6.3072
_cell_length_b 6.3072
_cell_length_c 4.8834
_cell_angle_alpha 101.54
_cell_angle_beta 101.54
_cell_angle_gamma 88.41
_space_group_name_H-M_alt 'P 1'
_space_group_IT_number 1
_space_group_name_Hall 'P 1'
loop_
_atom_site_label
_atom_site_type_symbol
_atom_site_fract_x
_atom_site_fract_y
_atom_site_fract_z
Sn1 Sn 0.1665 0.8335 0.7500
Sn2 Sn 0.8335 0.1665 0.2500
H1 H 0.0920 0.5110 0.2040
H2 H 0.1345 0.2972 0.5834
H3 H 0.2972 0.1345 0.0834
H4 H 0.3331 0.3971 0.9367
H5 H 0.3971 0.3331 0.4367
H6 H 0.4890 0.9080 0.2960
H7 H 0.5110 0.0920 0.7040
H8 H 0.6029 0.6669 0.5633
H9 H 0.6669 0.6029 0.0633
H10 H 0.7028 0.8655 0.9166
H11 H 0.8655 0.7028 0.4166
H12 H 0.9080 0.4890 0.7960
Pd1 Pd 0.3845 0.6155 0.2500
Pd2 Pd 0.6155 0.3845 0.7500
Rh1 Rh 0.0848 0.2800 0.9099
Rh2 Rh 0.2800 0.0848 0.4099
Rh3 Rh 0.7200 0.9152 0.5901
Rh4 Rh 0.9152 0.7200 0.0901
```

---

No. 4
The following is a PBE calculation of an optimized crystal structure of SnHPdRh2, from the Alexandria database.

Calculated values
Raw total energy = -5.7736 eV/atom
Crystal system = tetragonal
DOS(E_F) = 4.03 states/eV/cell
Space group = P4/mmm

The structure in CIF format:
```
data_SnHPdRh2
_chemical_formula_sum 'Sn1 H1 Pd1 Rh2'
_cell_length_a 4.0589
_cell_length_b 4.0589
_cell_length_c 3.9735
_cell_angle_alpha 90.00
_cell_angle_beta 90.00
_cell_angle_gamma 90.00
_space_group_name_H-M_alt 'P 1'
_space_group_IT_number 1
_space_group_name_Hall 'P 1'
loop_
_atom_site_label
_atom_site_type_symbol
_atom_site_fract_x
_atom_site_fract_y
_atom_site_fract_z
Sn1 Sn 0.0000 0.0000 0.0000
H1 H 0.5000 0.5000 0.5000
Pd1 Pd 0.5000 0.5000 0.0000
Rh1 Rh 0.0000 0.5000 0.5000
Rh2 Rh 0.5000 0.0000 0.5000
```

---

- The highest raw total energy belongs to which entry?
  Sn2H6PdRh

---

- Number 1 is which compound?
  SnHPd2Rh

---

- Which value of DOS(E_F) does entry 1 give?
  0.51 states/eV/cell

---

- Which of these has the highest raw total energy?
  Sn2H6PdRh